First-principles (PBE) data for a relaxed structure of MgSiN3, as listed in the Alexandria database.

Cell: 3.975 3.975 3.975 Å, 90.00 90.00 90.00°
Atoms (fractional coordinates):
Mg1 0.000 0.000 0.000
Si1 0.500 0.500 0.500
N1 0.000 0.000 0.500
N2 0.000 0.500 0.000
N3 0.500 0.000 0.000

Space-group type = Pm-3m, No. 221
E_form (uncorrected) = 1952 meV per atom
Total moment = 0.9588 μB per atom